[1]
Material: Hf3Al3CuAu2
Method: DFT, PBE-GGA
State: relaxed

abc: 6.775 6.775 4.024
angles: 90.00 90.00 120.00
Element x y z (fractional)
Hf 0.000 0.408 0.000
Hf 0.408 0.000 0.000
Hf 0.592 0.592 0.000
Al 0.000 0.760 0.500
Al 0.240 0.240 0.500
Al 0.760 0.000 0.500
Cu 0.000 0.000 0.000
Au 0.333 0.667 0.500
Au 0.667 0.333 0.500

Values from the calculation:
Space-group type: P-62m
Crystal system: hexagonal
E in eV/f.u.: -55.80

[2]
Material: AlCuHgAu
Method: DFT, PBE-GGA
State: relaxed

abc: 6.482 6.482 6.482
angles: 90.00 90.00 90.00
Element x y z (fractional)
Al 0.000 0.000 0.000
Al 0.000 0.500 0.500
Al 0.500 0.000 0.500
Al 0.500 0.500 0.000
Cu 0.250 0.250 0.250
Cu 0.250 0.750 0.750
Cu 0.750 0.250 0.750
Cu 0.750 0.750 0.250
Hg 0.000 0.000 0.500
Hg 0.000 0.500 0.000
Hg 0.500 0.000 0.000
Hg 0.500 0.500 0.500
Au 0.250 0.250 0.750
Au 0.250 0.750 0.250
Au 0.750 0.250 0.250
Au 0.750 0.750 0.750

Values from the calculation:
Space-group type: F-43m
Crystal system: cubic
Relative energy among the computed polymorphs in meV per atom: 0.0

[3]
Material: HoTm2Al3CuAu2
Method: DFT, PBE-GGA
State: relaxed

abc: 3.967 7.236 7.236
angles: 120.12 90.00 90.00
Element x y z (fractional)
Ho 0.000 0.000 0.000
Tm 0.000 0.407 0.814
Tm 0.000 0.814 0.407
Al 0.500 0.176 0.408
Al 0.500 0.408 0.176
Al 0.500 0.640 0.640
Cu 0.000 0.409 0.409
Au 0.500 0.075 0.739
Au 0.500 0.739 0.075

Values from the calculation:
Space-group type: Amm2
Crystal system: orthorhombic
E in eV/f.u.: -41.37

[4]
Material: Li2AlInCu2Au2
Method: DFT, PBE-GGA
State: relaxed

abc: 4.311 4.311 6.589
angles: 90.00 90.00 90.00
Element x y z (fractional)
Li 0.000 0.000 0.000
Li 0.500 0.500 0.500
Al 0.000 0.000 0.500
In 0.500 0.500 0.000
Cu 0.000 0.500 0.723
Cu 0.500 0.000 0.277
Au 0.000 0.500 0.278
Au 0.500 0.000 0.722

Values from the calculation:
Space-group type: P-4m2
Crystal system: tetragonal
E in eV/f.u.: -27.03

[5]
Material: Tm3Al2InCuAu2
Method: DFT, PBE-GGA
State: relaxed

abc: 3.930 7.338 7.338
angles: 119.24 90.00 90.00
Element x y z (fractional)
Tm 0.000 0.000 0.000
Tm 0.000 0.185 0.596
Tm 0.000 0.596 0.185
Al 0.500 0.600 0.836
Al 0.500 0.836 0.600
In 0.500 0.357 0.357
Cu 0.000 0.615 0.615
Au 0.500 0.262 0.918
Au 0.500 0.918 0.262

Values from the calculation:
Space-group type: Amm2
Crystal system: orthorhombic
E in eV/f.u.: -40.08

[6]
Material: AlCuIrAu
Method: DFT, PBE-GGA
State: relaxed

abc: 6.198 6.198 6.198
angles: 90.00 90.00 90.00
Element x y z (fractional)
Al 0.000 0.000 0.000
Al 0.000 0.500 0.500
Al 0.500 0.000 0.500
Al 0.500 0.500 0.000
Cu 0.250 0.250 0.250
Cu 0.250 0.750 0.750
Cu 0.750 0.250 0.750
Cu 0.750 0.750 0.250
Ir 0.250 0.250 0.750
Ir 0.250 0.750 0.250
Ir 0.750 0.250 0.250
Ir 0.750 0.750 0.750
Au 0.000 0.000 0.500
Au 0.000 0.500 0.000
Au 0.500 0.000 0.000
Au 0.500 0.500 0.500

Values from the calculation:
Space-group type: F-43m
Crystal system: cubic
Relative energy among the computed polymorphs in meV per atom: 0.0

[7]
Material: LiAlCuAu
Method: DFT, PBE-GGA
State: relaxed

abc: 6.110 6.110 6.110
angles: 90.00 90.00 90.00
Element x y z (fractional)
Li 0.000 0.000 0.000
Li 0.000 0.500 0.500
Li 0.500 0.000 0.500
Li 0.500 0.500 0.000
Al 0.000 0.000 0.500
Al 0.000 0.500 0.000
Al 0.500 0.000 0.000
Al 0.500 0.500 0.500
Cu 0.250 0.250 0.750
Cu 0.250 0.750 0.250
Cu 0.750 0.250 0.250
Cu 0.750 0.750 0.750
Au 0.250 0.250 0.250
Au 0.250 0.750 0.750
Au 0.750 0.250 0.750
Au 0.750 0.750 0.250

Values from the calculation:
Space-group type: F-43m
Crystal system: cubic
Relative energy among the computed polymorphs in meV per atom: 0.0

[8]
Material: Li4Al2CuAu
Method: DFT, PBE-GGA
State: relaxed

abc: 4.315 4.315 6.087
angles: 90.00 90.00 90.00
Element x y z (fractional)
Li 0.000 0.000 0.000
Li 0.000 0.500 0.743
Li 0.500 0.000 0.257
Li 0.500 0.500 0.500
Al 0.000 0.500 0.261
Al 0.500 0.000 0.739
Cu 0.000 0.000 0.500
Au 0.500 0.500 0.000

Values from the calculation:
Space-group type: P-4m2
Crystal system: tetragonal
E in eV/f.u.: -24.89

[9]
Material: Li2MgAlCu2Au2
Method: DFT, PBE-GGA
State: relaxed

abc: 4.371 4.371 6.166
angles: 90.00 90.00 90.00
Element x y z (fractional)
Li 0.000 0.000 0.000
Li 0.500 0.500 0.500
Mg 0.000 0.000 0.500
Al 0.500 0.500 0.000
Cu 0.000 0.500 0.764
Cu 0.500 0.000 0.236
Au 0.000 0.500 0.238
Au 0.500 0.000 0.762

Values from the calculation:
Space-group type: P-4m2
Crystal system: tetragonal
E in eV/f.u.: -26.08

[10]
Material: Li2Sc2Al2CuAu
Method: DFT, PBE-GGA
State: relaxed

abc: 4.475 4.475 6.348
angles: 90.00 90.00 90.00
Element x y z (fractional)
Li 0.000 0.000 0.000
Li 0.500 0.500 0.500
Sc 0.000 0.500 0.240
Sc 0.500 0.000 0.760
Al 0.000 0.500 0.757
Al 0.500 0.000 0.243
Cu 0.500 0.500 0.000
Au 0.000 0.000 0.500

Values from the calculation:
Space-group type: P-4m2
Crystal system: tetragonal
E in eV/f.u.: -34.95

[11]
Material: LiSc2Al2Cu2Au
Method: DFT, PBE-GGA
State: relaxed

abc: 4.463 4.463 6.339
angles: 90.00 90.00 90.00
Element x y z (fractional)
Li 0.000 0.000 0.000
Sc 0.000 0.500 0.759
Sc 0.500 0.000 0.241
Al 0.000 0.500 0.245
Al 0.500 0.000 0.755
Cu 0.000 0.000 0.500
Cu 0.500 0.500 0.000
Au 0.500 0.500 0.500

Values from the calculation:
Space-group type: P-4m2
Crystal system: tetragonal
E in eV/f.u.: -36.28

[12]
Material: Li2AlZnCu2Au2
Method: DFT, PBE-GGA
State: relaxed

abc: 4.316 4.316 6.061
angles: 90.00 90.00 90.00
Element x y z (fractional)
Li 0.000 0.000 0.000
Li 0.500 0.500 0.500
Al 0.000 0.000 0.500
Zn 0.500 0.500 0.000
Cu 0.000 0.500 0.751
Cu 0.500 0.000 0.249
Au 0.000 0.500 0.257
Au 0.500 0.000 0.743

Values from the calculation:
Space-group type: P-4m2
Crystal system: tetragonal
E in eV/f.u.: -25.57